# 1
This record from Alexandria describes ZrGeSe2 after structural relaxation. The functional is GGA-PBEsol.

Results
For the density of states at the Fermi level, the calculation gives 0.6874 states/eV per atom. For the formation energy without anion corrections, the calculation gives -0.136 eV per atom.

Structure (CIF):
```
data_ZrGeSe2
_space_group_name_H-M_alt 'P 1'
_space_group_IT_number 1
_space_group_name_Hall 'P 1'
_cell_length_a 8.542
_cell_length_b 8.542
_cell_length_c 8.542
_cell_angle_alpha 24.39
_cell_angle_beta 24.39
_cell_angle_gamma 24.39
loop_
_atom_site_label
_atom_site_fract_x
_atom_site_fract_y
_atom_site_fract_z
Zr1 0.000 0.000 0.000
Ge1 0.500 0.500 0.500
Se1 0.103 0.103 0.103
Se2 0.897 0.897 0.897
```

=====

# 2
This record from Alexandria describes Mg2TaSb after structural relaxation. The functional is GGA-PBEsol.

Results
For the density of states at the Fermi level, the calculation gives 0.4035 states/eV per atom. For the formation energy without anion corrections, the calculation gives 0.158 eV per atom.

Structure (CIF):
```
data_Mg2TaSb
_space_group_name_H-M_alt 'P 1'
_space_group_IT_number 1
_space_group_name_Hall 'P 1'
_cell_length_a 2.993
_cell_length_b 2.993
_cell_length_c 9.433
_cell_angle_alpha 90.00
_cell_angle_beta 90.00
_cell_angle_gamma 90.00
loop_
_atom_site_label
_atom_site_fract_x
_atom_site_fract_y
_atom_site_fract_z
Mg1 0.000 0.000 0.225
Mg2 0.000 0.000 0.775
Ta1 0.500 0.500 0.000
Sb1 0.500 0.500 0.500
```

=====

# 3
This record from Alexandria describes BSeO3 after structural relaxation. The functional is GGA-PBEsol.

Results
For the density of states at the Fermi level, the calculation gives 0.4311 states/eV per atom. For the formation energy without anion corrections, the calculation gives 0.645 eV per atom.

Structure (CIF):
```
data_BSeO3
_space_group_name_H-M_alt 'P 1'
_space_group_IT_number 1
_space_group_name_Hall 'P 1'
_cell_length_a 3.765
_cell_length_b 3.765
_cell_length_c 3.765
_cell_angle_alpha 90.00
_cell_angle_beta 90.00
_cell_angle_gamma 90.00
loop_
_atom_site_label
_atom_site_fract_x
_atom_site_fract_y
_atom_site_fract_z
B1 0.000 0.000 0.000
Se1 0.500 0.500 0.500
O1 0.000 0.500 0.500
O2 0.500 0.000 0.500
O3 0.500 0.500 0.000
```

=====

# 4
This record from Alexandria describes SrCoF2 after structural relaxation. The functional is GGA-PBEsol.

Results
For the density of states at the Fermi level, the calculation gives 0.3364 states/eV per atom. For the formation energy without anion corrections, the calculation gives -1.352 eV per atom.

Structure (CIF):
```
data_SrCoF2
_space_group_name_H-M_alt 'P 1'
_space_group_IT_number 1
_space_group_name_Hall 'P 1'
_cell_length_a 6.326
_cell_length_b 6.326
_cell_length_c 6.326
_cell_angle_alpha 33.67
_cell_angle_beta 33.67
_cell_angle_gamma 33.67
loop_
_atom_site_label
_atom_site_fract_x
_atom_site_fract_y
_atom_site_fract_z
Sr1 0.000 0.000 0.000
Co1 0.500 0.500 0.500
F1 0.129 0.129 0.129
F2 0.871 0.871 0.871
```

=====

# 5
This record from Alexandria describes Ba4Sb2O9 after structural relaxation. The functional is GGA-PBEsol.

Results
For the density of states at the Fermi level, the calculation gives 0.0000 states/eV per atom. For the formation energy without anion corrections, the calculation gives -2.262 eV per atom.

Structure (CIF):
```
data_Ba4Sb2O9
_space_group_name_H-M_alt 'P 1'
_space_group_IT_number 1
_space_group_name_Hall 'P 1'
_cell_length_a 6.006
_cell_length_b 6.006
_cell_length_c 16.934
_cell_angle_alpha 90.00
_cell_angle_beta 90.00
_cell_angle_gamma 120.00
loop_
_atom_site_label
_atom_site_fract_x
_atom_site_fract_y
_atom_site_fract_z
Ba1 0.000 0.000 0.000
Ba2 0.000 0.000 0.250
Ba3 0.000 0.000 0.500
Ba4 0.000 0.000 0.750
Ba5 0.333 0.667 0.130
Ba6 0.333 0.667 0.370
Ba7 0.667 0.333 0.630
Ba8 0.667 0.333 0.870
Sb1 0.333 0.667 0.663
Sb2 0.333 0.667 0.837
Sb3 0.667 0.333 0.163
Sb4 0.667 0.333 0.337
O1 0.038 0.519 0.750
O2 0.169 0.339 0.611
O3 0.169 0.339 0.889
O4 0.169 0.831 0.611
O5 0.169 0.831 0.889
O6 0.339 0.169 0.111
O7 0.339 0.169 0.389
O8 0.481 0.519 0.750
O9 0.481 0.962 0.750
O10 0.519 0.038 0.250
O11 0.519 0.481 0.250
O12 0.661 0.831 0.611
O13 0.661 0.831 0.889
O14 0.831 0.169 0.111
O15 0.831 0.169 0.389
O16 0.831 0.661 0.111
O17 0.831 0.661 0.389
O18 0.962 0.481 0.250
```

=====

# 6
This record from Alexandria describes MgCr2Tc after structural relaxation. The functional is GGA-PBEsol.

Results
For the density of states at the Fermi level, the calculation gives 0.7209 states/eV per atom. Its energy of formation from the pure elements is 7.0 kcal/mol of atoms.

Structure (CIF):
```
data_MgCr2Tc
_space_group_name_H-M_alt 'P 1'
_space_group_IT_number 1
_space_group_name_Hall 'P 1'
_cell_length_a 2.931
_cell_length_b 2.931
_cell_length_c 6.506
_cell_angle_alpha 90.00
_cell_angle_beta 90.00
_cell_angle_gamma 90.00
loop_
_atom_site_label
_atom_site_fract_x
_atom_site_fract_y
_atom_site_fract_z
Mg1 0.000 0.000 0.000
Cr1 0.000 0.000 0.505
Cr2 0.500 0.500 0.708
Tc1 0.500 0.500 0.287
```

=====

# 7
This record from Alexandria describes ScAg3 after structural relaxation. The functional is GGA-PBEsol.

Results
For the density of states at the Fermi level, the calculation gives 0.4405 states/eV per atom. Its energy of formation from the pure elements is -4.2 kcal/mol of atoms.

Structure (CIF):
```
data_ScAg3
_space_group_name_H-M_alt 'P 1'
_space_group_IT_number 1
_space_group_name_Hall 'P 1'
_cell_length_a 3.403
_cell_length_b 3.403
_cell_length_c 6.146
_cell_angle_alpha 90.00
_cell_angle_beta 90.00
_cell_angle_gamma 90.00
loop_
_atom_site_label
_atom_site_fract_x
_atom_site_fract_y
_atom_site_fract_z
Sc1 0.000 0.000 0.000
Ag1 0.000 0.000 0.500
Ag2 0.500 0.500 0.260
Ag3 0.500 0.500 0.740
```

=====

# 8
This record from Alexandria describes ZrAs2Se after structural relaxation. The functional is GGA-PBEsol.

Results
For the density of states at the Fermi level, the calculation gives 0.6022 states/eV per atom. For the formation energy without anion corrections, the calculation gives -0.236 eV per atom.

Structure (CIF):
```
data_ZrAs2Se
_space_group_name_H-M_alt 'P 1'
_space_group_IT_number 1
_space_group_name_Hall 'P 1'
_cell_length_a 4.586
_cell_length_b 4.586
_cell_length_c 3.567
_cell_angle_alpha 90.00
_cell_angle_beta 90.00
_cell_angle_gamma 90.00
loop_
_atom_site_label
_atom_site_fract_x
_atom_site_fract_y
_atom_site_fract_z
Zr1 0.000 0.000 0.000
As1 0.000 0.500 0.500
As2 0.500 0.000 0.500
Se1 0.500 0.500 0.000
```

=====

# 9
This record from Alexandria describes YBe3Co after structural relaxation. The functional is GGA-PBEsol.

Results
For the density of states at the Fermi level, the calculation gives 0.3887 states/eV per atom. Its energy of formation from the pure elements is -2.3 kcal/mol of atoms.

Structure (CIF):
```
data_YBe3Co
_space_group_name_H-M_alt 'P 1'
_space_group_IT_number 1
_space_group_name_Hall 'P 1'
_cell_length_a 4.035
_cell_length_b 4.035
_cell_length_c 4.035
_cell_angle_alpha 90.00
_cell_angle_beta 90.00
_cell_angle_gamma 90.00
loop_
_atom_site_label
_atom_site_fract_x
_atom_site_fract_y
_atom_site_fract_z
Y1 0.000 0.000 0.000
Be1 0.000 0.500 0.500
Be2 0.500 0.000 0.500
Be3 0.500 0.500 0.000
Co1 0.500 0.500 0.500
```

=====

# 10
This record from Alexandria describes YNiSb2 after structural relaxation. The functional is GGA-PBEsol.

Results
For the density of states at the Fermi level, the calculation gives 0.7764 states/eV per atom. For the formation energy without anion corrections, the calculation gives -0.405 eV per atom.

Structure (CIF):
```
data_YNiSb2
_space_group_name_H-M_alt 'P 1'
_space_group_IT_number 1
_space_group_name_Hall 'P 1'
_cell_length_a 3.961
_cell_length_b 6.151
_cell_length_c 6.151
_cell_angle_alpha 37.36
_cell_angle_beta 90.00
_cell_angle_gamma 90.00
loop_
_atom_site_label
_atom_site_fract_x
_atom_site_fract_y
_atom_site_fract_z
Y1 0.000 0.000 0.000
Ni1 0.500 0.585 0.585
Sb1 0.000 0.719 0.719
Sb2 0.500 0.372 0.372
```